(1)
Material: Na4TlHg5
Method: DFT, PBE
State: optimized geometry

Results
SG: P4/mmm
D(E_F): 3.1 states/eV/f.u.
Magnetization: 0.0000 μB/atom
Energy of formation: -207 kJ/mol of formula units

```
Na4TlHg5
1.0
-3.1443 0.6969 2.0211
-2.1143 -0.4814 -3.1234
-1.5179 -17.7717 3.7664
Na Tl Hg
4 1 5
Direct
0.0000 0.0000 0.1997
0.0000 0.0000 0.4001
0.0000 0.0000 0.5999
0.0000 0.0000 0.8003
0.0000 0.0000 0.0000
0.5000 0.5000 0.1060
0.5000 0.5000 0.3023
0.5000 0.5000 0.5000
0.5000 0.5000 0.6977
0.5000 0.5000 0.8940
```

(2)
Material: TbY2Th3Te6
Method: DFT, PBE
State: optimized geometry

Results
SG: C2/m
D(E_F): 9.9 states/eV/f.u.
Magnetization: 0.0000 μB/atom
Formation energy from raw total energies: -1.15 eV per atom

```
TbY2Th3Te6
1.0
4.2630 0.0000 0.0000
0.0000 9.1685 -0.2544
-2.1315 -3.2491 9.4175
Tb Y Th Te
1 2 3 6
Direct
0.5000 0.0000 0.0000
0.8336 0.6677 0.6673
0.1664 0.3323 0.3327
0.5000 0.5000 0.0000
0.8336 0.1673 0.6672
0.1664 0.8327 0.3328
0.3360 0.9097 0.6721
0.6698 0.5755 0.3396
0.6640 0.0903 0.3279
0.0030 0.2432 0.0060
0.9970 0.7568 0.9940
0.3302 0.4245 0.6604
```

(3)
Material: SrGdMgPb
Method: DFT, PBE
State: optimized geometry

Results
SG: F-43m
D(E_F): 6.2 states/eV/f.u.
Magnetization: 1.8919 μB/atom
Energy of formation: -105 kJ/mol of formula units

```
SrGdMgPb
1.0
5.6124 0.0000 0.0000
2.8062 4.8604 0.0000
2.8062 1.6201 4.5825
Pb Sr Mg Gd
1 1 1 1
Direct
0.5000 0.5000 0.5000
0.7500 0.7500 0.7500
0.0000 0.0000 0.0000
0.2500 0.2500 0.2500
```

(4)
Material: HfCoPS2
Method: DFT, PBE
State: optimized geometry

Results
SG: P4/mmm
D(E_F): 4.3 states/eV/f.u.
Magnetization: 0.0000 μB/atom
Formation energy from raw total energies: 0.03 eV per atom
Energy above the most stable polymorph in this dataset: 0.000 eV/atom

```
HfCoPS2
1.0
4.4030 0.0000 0.0000
0.0000 4.4030 0.0000
0.0000 0.0000 4.2908
Co S Hf P
1 2 1 1
Direct
0.0000 0.0000 0.0000
0.0000 0.5000 0.0000
0.5000 0.0000 0.0000
0.5000 0.5000 0.5000
0.0000 0.0000 0.5000
```

(5)
Material: TlGa3Au
Method: DFT, PBE
State: optimized geometry

Results
SG: Pm-3m
D(E_F): 2.2 states/eV/f.u.
Magnetization: 0.0000 μB/atom
Energy above the most stable polymorph in this dataset: 0.000 eV/atom
Energy of formation: 59 kJ/mol of formula units

```
TlGa3Au
1.0
5.0720 0.0000 0.0000
0.0000 5.0720 0.0000
0.0000 0.0000 5.0720
Tl Au Ga
1 1 3
Direct
0.5000 0.5000 0.5000
0.0000 0.0000 0.0000
0.0000 0.5000 0.0000
0.0000 0.0000 0.5000
0.5000 0.0000 0.0000
```

(6)
Material: Pu2CS
Method: DFT, PBE
State: optimized geometry

Results
SG: Pmmn
D(E_F): 13.7 states/eV/f.u.
Magnetization: 2.4736 μB/atom
Formation energy from raw total energies: -0.82 eV per atom

```
Pu2CS
1.0
3.6942 0.0000 0.0000
0.0000 5.3873 0.0000
0.0000 0.0000 7.6532
Pu C S
4 2 2
Direct
0.0000 0.0000 0.8417
0.0000 0.0000 0.4044
0.5000 0.5000 0.5956
0.5000 0.5000 0.1583
0.5000 0.0000 0.6264
0.0000 0.5000 0.3736
0.0000 0.5000 0.8772
0.5000 0.0000 0.1228
```

(7)
Material: Pr4Ho5Sc
Method: DFT, PBE
State: optimized geometry

Results
SG: I4mm
D(E_F): 13.6 states/eV/f.u.
Magnetization: 0.0001 μB/atom
Energy above the most stable polymorph in this dataset: 0.000 eV/atom
Energy of formation: 203 kJ/mol of formula units

```
Pr4Ho5Sc
1.0
-4.4034 3.8472 0.4628
-4.5857 0.0293 -6.7053
-6.6020 -3.4720 3.2171
Pr Ho Sc
4 5 1
Direct
0.4436 0.3212 0.6788
0.7648 0.6788 0.6788
0.1224 0.3212 0.3212
0.4436 0.6788 0.3212
0.7766 0.3719 0.0000
0.1485 0.0000 0.6281
0.7766 0.0000 0.3719
0.1485 0.6281 0.0000
0.6808 0.0000 0.0000
0.2049 0.0000 0.0000
```

(8)
Material: ZnFeCl2
Method: DFT, PBE
State: optimized geometry

Results
SG: C2/m
D(E_F): 3.7 states/eV/f.u.
Magnetization: 0.7685 μB/atom
Formation energy from raw total energies: 0.08 eV per atom
Energy above the most stable polymorph in this dataset: 0.439 eV/atom

```
ZnFeCl2
1.0
-1.8375 5.7719 -0.1910
-5.0462 0.4053 3.3316
-0.2465 1.8648 2.6165
Zn Fe Cl
1 1 2
Direct
0.0000 0.5000 0.5000
0.5000 0.0000 0.5000
0.0000 0.0000 0.0000
0.5000 0.5000 0.0000
```

(9)
Material: Er4TlHgO
Method: DFT, PBE
State: optimized geometry

Results
SG: Cmcm
D(E_F): 4.0 states/eV/f.u.
Magnetization: 0.0000 μB/atom
Formation energy from raw total energies: -1.06 eV per atom

```
Er4TlHgO
1.0
6.5112 0.0000 0.0000
0.0000 6.5147 0.0000
-3.2556 0.0000 7.9337
Er Tl Hg O
8 2 2 2
Direct
0.9195 0.2500 0.8390
0.4291 0.7500 0.8582
0.0805 0.7500 0.1610
0.5709 0.2500 0.1418
0.5000 0.5000 0.5000
0.0000 0.0000 0.5000
0.5000 0.0000 0.5000
0.0000 0.5000 0.5000
0.1116 0.2500 0.2232
0.8884 0.7500 0.7768
0.6167 0.7500 0.2335
0.3833 0.2500 0.7665
0.2449 0.7500 0.4897
0.7551 0.2500 0.5103
```

(10)
Material: Pr4IrSe2I
Method: DFT, PBE
State: optimized geometry

Results
SG: P2/m
D(E_F): 6.1 states/eV/f.u.
Magnetization: 0.0000 μB/atom
Formation energy from raw total energies: -1.28 eV per atom

```
Pr4IrSe2I
1.0
4.2102 0.0000 0.0000
0.0000 7.5537 -0.2101
0.0000 2.6087 7.3010
Pr Ir Se I
4 1 2 1
Direct
0.0000 0.7690 0.7187
0.0000 0.2310 0.2813
0.5000 0.7285 0.2870
0.5000 0.2715 0.7130
0.0000 0.5000 0.5000
0.0000 0.0000 0.0000
0.5000 0.0000 0.5000
0.5000 0.5000 0.0000
```

(11)
Material: Tb5Tm4
Method: DFT, PBE
State: optimized geometry

Results
SG: C2/m
D(E_F): 12.8 states/eV/f.u.
Magnetization: 0.0000 μB/atom
Energy above the most stable polymorph in this dataset: 0.000 eV/atom
Energy of formation: 18 kJ/mol of formula units

```
Tb5Tm4
1.0
-4.7984 1.2223 0.3887
-3.6714 -2.1832 -6.6254
-3.8670 -6.0765 3.2039
Tb Tm
5 4
Direct
0.0000 0.9990 0.0010
0.0000 0.3343 0.6657
0.0000 0.6667 0.3333
0.3322 0.3344 0.0011
0.6678 0.9989 0.6656
0.3333 0.6667 0.6666
0.3333 0.0000 0.3333
0.6667 0.6667 0.0000
0.6667 0.3334 0.3333
```

(12)
Material: Nd4SiPdBr2
Method: DFT, PBE
State: optimized geometry

Results
SG: P2/m
D(E_F): 6.5 states/eV/f.u.
Magnetization: 0.0000 μB/atom
Formation energy from raw total energies: -0.99 eV per atom

```
Nd4SiPdBr2
1.0
-0.4242 3.4161 -2.3469
-6.3964 -2.8728 -3.0253
-1.9706 3.9859 6.1578
Nd Si Pd Br
4 1 1 2
Direct
0.5000 0.2337 0.2174
0.5000 0.7663 0.7826
0.0000 0.2655 0.7909
0.0000 0.7345 0.2091
0.0000 0.0000 0.0000
0.5000 0.5000 0.0000
0.5000 0.0000 0.5000
0.0000 0.5000 0.5000
```

What is the formula in the first record? Na4TlHg5

What is the formula in the tenth record? Pr4IrSe2I

Look up the magnetization of the seventh one. 0.0001 μB/atom

Please write out number 12 again, unchanged.
Material: Nd4SiPdBr2
Method: DFT, PBE
State: optimized geometry

Results
SG: P2/m
D(E_F): 6.5 states/eV/f.u.
Magnetization: 0.0000 μB/atom
Formation energy from raw total energies: -0.99 eV per atom

```
Nd4SiPdBr2
1.0
-0.4242 3.4161 -2.3469
-6.3964 -2.8728 -3.0253
-1.9706 3.9859 6.1578
Nd Si Pd Br
4 1 1 2
Direct
0.5000 0.2337 0.2174
0.5000 0.7663 0.7826
0.0000 0.2655 0.7909
0.0000 0.7345 0.2091
0.0000 0.0000 0.0000
0.5000 0.5000 0.0000
0.5000 0.0000 0.5000
0.0000 0.5000 0.5000
```